Here is an optimized crystal structure of CoP2S6 from Alexandria. Energies are from PBE-GGA.

Output
The value obtained for the raw total energy is -172.7 eV per cell. Its crystal system is monoclinic. The density of states at the Fermi level is 1.424 states/eV/f.u. The uncorrected formation energy comes out at -0.0534 eV/atom.

Cell lengths 11.4527, 10.5124, 5.9183 Å; angles 90.00, 104.85, 90.00 degrees
Closest atoms and distances in Å follow each position.
Space group C2/c (No. 15)
Asymmetric unit:
Co: 0.0000 0.1028 0.2500  6 S 2.27-2.44
P: 0.2059 0.4102 0.3024  4 S 2.01-2.15
S: 0.1028 0.0781 0.6290  1 P 2.13, 1 Co 2.27
S: 0.1265 0.2550 0.1330  1 P 2.01
S: 0.1343 0.4252 0.5960  2 P 2.11-2.15